Record 1
A relaxed Mn3GaH crystal, computed with PBE-GGA.

Computed properties:
Total energy, eV/f.u.: -33.77
V, A^3/atom: 10.044
Space group: No. 25

Unit cell a=4.268 b=5.171 c=4.550 alpha=90.00 beta=90.00 gamma=90.00
Fractional positions:
Mn1 0.000 0.000 0.000
Mn2 0.000 0.245 0.481
Mn3 0.000 0.755 0.481
Mn4 0.500 0.240 0.160
Mn5 0.500 0.500 0.672
Mn6 0.500 0.760 0.160
Ga1 0.000 0.500 0.966
Ga2 0.500 0.000 0.666
H1 0.266 0.500 0.373
H2 0.734 0.500 0.373

***

Record 2
A relaxed Mn3GaH3 crystal, computed with PBE-GGA.

Computed properties:
Polymorph energy (0 for the lowest one), eV per formula unit: 1.28
Total energy, eV/f.u.: -39.46
V, A^3/atom: 8.997
Space group: No. 148

Unit cell a=6.787 b=6.787 c=6.787 alpha=41.87 beta=41.87 gamma=41.87
Fractional positions:
Mn1 0.005 0.227 0.607
Mn2 0.227 0.607 0.005
Mn3 0.393 0.995 0.773
Mn4 0.607 0.005 0.227
Mn5 0.773 0.393 0.995
Mn6 0.995 0.773 0.393
Ga1 0.165 0.165 0.165
Ga2 0.835 0.835 0.835
H1 0.110 0.371 0.651
H2 0.349 0.890 0.629
H3 0.371 0.651 0.110
H4 0.629 0.349 0.890
H5 0.651 0.110 0.371
H6 0.890 0.629 0.349

***

Record 3
A relaxed Mn3GaH crystal, computed with PBE-GGA.

Computed properties:
Total energy, eV/f.u.: -34.05
V, A^3/atom: 10.674
Space group: No. 38

Unit cell a=2.643 b=4.623 c=4.623 alpha=70.86 beta=90.00 gamma=90.00
Fractional positions:
Mn1 0.000 0.000 0.000
Mn2 0.500 0.465 0.976
Mn3 0.500 0.976 0.465
Ga1 0.000 0.472 0.472
H1 0.500 0.855 0.855

***

Record 4
A relaxed Mn3GaH crystal, computed with PBE-GGA.

Computed properties:
Total energy, eV/f.u.: -32.76
V, A^3/atom: 11.385
Space group: No. 194

Unit cell a=4.179 b=4.179 c=7.527 alpha=90.00 beta=90.00 gamma=120.00
Fractional positions:
Mn1 0.000 0.000 0.250
Mn2 0.000 0.000 0.750
Mn3 0.333 0.667 0.083
Mn4 0.333 0.667 0.417
Mn5 0.667 0.333 0.583
Mn6 0.667 0.333 0.917
Ga1 0.333 0.667 0.750
Ga2 0.667 0.333 0.250
H1 0.000 0.000 0.000
H2 0.000 0.000 0.500

***

Record 5
A relaxed Mn3GaH crystal, computed with PBE-GGA.

Computed properties:
Total energy, eV/f.u.: -31.67
V, A^3/atom: 13.314
Space group: No. 160

Unit cell a=4.462 b=4.462 c=4.462 alpha=110.17 beta=110.17 gamma=110.17
Fractional positions:
Mn1 0.203 0.203 0.593
Mn2 0.203 0.593 0.203
Mn3 0.593 0.203 0.203
Ga1 0.871 0.871 0.871
H1 0.452 0.452 0.452

***

Record 6
A relaxed MnGaH2 crystal, computed with PBE-GGA.

Computed properties:
Polymorph energy (0 for the lowest one), eV per formula unit: 2.22
Total energy, eV/f.u.: -16.41
V, A^3/atom: 9.569
Space group: No. 225

Unit cell a=3.783 b=3.783 c=3.783 alpha=60.00 beta=60.00 gamma=60.00
Fractional positions:
Mn1 0.000 0.000 0.000
Ga1 0.500 0.500 0.500
H1 0.250 0.250 0.250
H2 0.750 0.750 0.750

***

Record 7
A relaxed Mn3GaH3 crystal, computed with PBE-GGA.

Computed properties:
Polymorph energy (0 for the lowest one), eV per formula unit: 0.00
Total energy, eV/f.u.: -40.74
V, A^3/atom: 8.734
Space group: No. 223

Unit cell a=4.963 b=4.963 c=4.963 alpha=90.00 beta=90.00 gamma=90.00
Fractional positions:
Mn1 0.000 0.250 0.500
Mn2 0.000 0.750 0.500
Mn3 0.250 0.500 0.000
Mn4 0.500 0.000 0.250
Mn5 0.500 0.000 0.750
Mn6 0.750 0.500 0.000
Ga1 0.000 0.000 0.000
Ga2 0.500 0.500 0.500
H1 0.000 0.500 0.250
H2 0.000 0.500 0.750
H3 0.250 0.000 0.500
H4 0.500 0.250 0.000
H5 0.500 0.750 0.000
H6 0.750 0.000 0.500

***

Record 8
A relaxed MnGaH2 crystal, computed with PBE-GGA.

Computed properties:
Polymorph energy (0 for the lowest one), eV per formula unit: 0.73
Total energy, eV/f.u.: -17.90
V, A^3/atom: 9.354
Space group: No. 122

Unit cell a=6.140 b=6.140 c=6.140 alpha=145.25 beta=145.25 gamma=49.96
Fractional positions:
Mn1 0.000 0.000 0.000
Mn2 0.750 0.250 0.500
Ga1 0.250 0.750 0.500
Ga2 0.500 0.500 0.000
H1 0.019 0.625 0.894
H2 0.375 0.269 0.394
H3 0.731 0.125 0.106
H4 0.875 0.981 0.606

***

Record 9
A relaxed Mn3GaH crystal, computed with PBE-GGA.

Computed properties:
Total energy, eV/f.u.: -33.22
V, A^3/atom: 10.146
Space group: No. 167

Unit cell a=4.664 b=4.664 c=4.664 alpha=89.79 beta=89.79 gamma=89.79
Fractional positions:
Mn1 0.009 0.750 0.491
Mn2 0.250 0.509 0.991
Mn3 0.491 0.009 0.750
Mn4 0.509 0.991 0.250
Mn5 0.750 0.491 0.009
Mn6 0.991 0.250 0.509
Ga1 0.000 0.000 0.000
Ga2 0.500 0.500 0.500
H1 0.250 0.250 0.250
H2 0.750 0.750 0.750

***

Record 10
A relaxed MnGaMoHOs crystal, computed with PBE-GGA.

Computed properties:
Polymorph energy (0 for the lowest one), eV per formula unit: 0.40
Total energy, eV/f.u.: -37.09
V, A^3/atom: 12.007
Space group: No. 8

Unit cell a=4.906 b=4.906 c=4.542 alpha=107.83 beta=107.83 gamma=35.44
Fractional positions:
Mn1 0.000 0.000 0.000
Ga1 0.733 0.733 0.312
Mo1 0.268 0.268 0.839
H1 0.056 0.056 0.666
Os1 0.476 0.476 0.455

***

Record 11
A relaxed MnGaMoHOs crystal, computed with PBE-GGA.

Computed properties:
Polymorph energy (0 for the lowest one), eV per formula unit: 0.04
Total energy, eV/f.u.: -37.46
V, A^3/atom: 11.852
Space group: No. 25

Unit cell a=2.833 b=3.916 c=5.341 alpha=90.00 beta=90.00 gamma=90.00
Fractional positions:
Mn1 0.000 0.000 0.000
Ga1 0.500 0.500 0.212
Mo1 0.000 0.000 0.477
H1 0.500 0.000 0.754
Os1 0.500 0.500 0.717

***

Record 12
A relaxed MnGaMoHOs crystal, computed with PBE-GGA.

Computed properties:
Polymorph energy (0 for the lowest one), eV per formula unit: 0.40
Total energy, eV/f.u.: -37.10
V, A^3/atom: 11.910
Space group: No. 6

Unit cell a=4.451 b=2.820 c=4.744 alpha=90.00 beta=90.75 gamma=90.00
Fractional positions:
Mn1 0.000 0.000 0.000
Ga1 0.485 0.500 0.146
Mo1 0.994 0.500 0.476
H1 0.857 0.500 0.840
Os1 0.487 0.000 0.661